No. 1
A plane-wave DFT calculation with PBE was carried out for a relaxed Ac3PrS4 crystal.

Computed properties:
* volume: 436 Å³ per cell
* total DFT energy (no corrections): -6.21 eV per atom
* space group: P2/c, No. 13
* E_form (uncorrected): -2.01 eV per atom
* energy above the lowest structure with this stoichiometry: 0 meV/atom
* D(E_F): 0.451 states/eV per atom
* crystal system: monoclinic

Cell lengths 7.3924, 7.3964, 8.4607 Å; angles 90.00, 90.00, 109.35 degrees
Element x y z (fractional)
Pr 0.7500 0.0000 0.8767
Pr 0.2500 0.0000 0.1233
Ac 0.7500 0.0000 0.3733
Ac 0.2500 0.0000 0.6267
Ac 0.7500 0.5000 0.6266
Ac 0.7500 0.5000 0.1237
Ac 0.2500 0.5000 0.3734
Ac 0.2500 0.5000 0.8763
S 0.9958 0.2457 0.6289
S 0.5000 0.2424 0.8790
S 0.4958 0.2457 0.3711
S 0.0000 0.2424 0.1210
S 0.0000 0.7576 0.8790
S 0.5042 0.7543 0.6289
S 0.5000 0.7576 0.1210
S 0.0042 0.7543 0.3711

=====

No. 2
A plane-wave DFT calculation with PBE was carried out for a relaxed AcPr4S5 crystal.

Computed properties:
* volume: 252 Å³ per cell
* total DFT energy (no corrections): -6.40 eV per atom
* space group: C2/m, No. 12
* E_form (uncorrected): -2.01 eV per atom
* D(E_F): 0.465 states/eV per atom
* crystal system: monoclinic

Cell lengths 4.1456, 7.1906, 9.2629 Å; angles 75.10, 77.07, 73.25 degrees
Element x y z (fractional)
Ac 0.0000 0.0000 0.0000
Pr 0.5985 0.2042 0.5987
Pr 0.1997 0.3950 0.2056
Pr 0.8003 0.6050 0.7944
Pr 0.4015 0.7958 0.4013
S 0.2016 0.9035 0.6933
S 0.7984 0.0965 0.3067
S 0.3949 0.3129 0.8974
S 0.0000 0.5000 0.5000
S 0.6051 0.6871 0.1026

=====

No. 3
A plane-wave DFT calculation with PBE was carried out for a relaxed AcPr6S8 crystal.

Computed properties:
* volume: 396 Å³ per cell
* total DFT energy (no corrections): -6.40 eV per atom
* space group: Fm-3m, No. 225
* E_form (uncorrected): -2.01 eV per atom
* D(E_F): 0.492 states/eV per atom
* crystal system: cubic

Cell lengths 8.2397, 8.2397, 8.2397 Å; angles 60.00, 60.00, 60.00 degrees
Element x y z (fractional)
Ac 0.0000 0.0000 0.0000
Pr 0.0000 0.5000 0.5000
Pr 0.5000 0.0000 0.0000
Pr 0.5000 0.5000 0.0000
Pr 0.0000 0.0000 0.5000
Pr 0.0000 0.5000 0.0000
Pr 0.5000 0.0000 0.5000
S 0.7500 0.7500 0.7500
S 0.2500 0.2500 0.2500
S 0.7445 0.2555 0.2555
S 0.2555 0.7445 0.7445
S 0.2555 0.2555 0.7445
S 0.7445 0.7445 0.2555
S 0.7445 0.2555 0.7445
S 0.2555 0.7445 0.2555

=====

No. 4
A plane-wave DFT calculation with PBE was carried out for a relaxed Ac3PrS4 crystal.

Computed properties:
* volume: 219 Å³ per cell
* total DFT energy (no corrections): -6.19 eV per atom
* space group: Pm-3m, No. 221
* E_form (uncorrected): -1.99 eV per atom
* energy above the lowest structure with this stoichiometry: 20 meV/atom
* D(E_F): 0.630 states/eV per atom
* crystal system: cubic

Cell lengths 6.0282, 6.0282, 6.0282 Å; angles 90.00, 90.00, 90.00 degrees
Element x y z (fractional)
Ac 0.0000 0.5000 0.5000
Ac 0.5000 0.0000 0.5000
Ac 0.5000 0.5000 0.0000
Pr 0.0000 0.0000 0.0000
S 0.5000 0.0000 0.0000
S 0.0000 0.5000 0.0000
S 0.0000 0.0000 0.5000
S 0.5000 0.5000 0.5000

=====

No. 5
A plane-wave DFT calculation with PBE was carried out for a relaxed Ac5Pr3S8 crystal.

Computed properties:
* volume: 429 Å³ per cell
* total DFT energy (no corrections): -6.25 eV per atom
* space group: R-3m, No. 166
* E_form (uncorrected): -2.01 eV per atom
* D(E_F): 0.476 states/eV per atom
* crystal system: trigonal

Cell lengths 8.4636, 8.4636, 8.4636 Å; angles 60.02, 60.02, 60.02 degrees
Element x y z (fractional)
Ac 0.5000 0.5000 0.0000
Ac 0.5000 0.0000 0.5000
Ac 0.0000 0.0000 0.0000
Ac 0.0000 0.5000 0.5000
Ac 0.5000 0.5000 0.5000
Pr 0.5000 0.0000 0.0000
Pr 0.0000 0.5000 0.0000
Pr 0.0000 0.0000 0.5000
S 0.7500 0.2420 0.7500
S 0.7500 0.7500 0.2420
S 0.2420 0.7500 0.7500
S 0.2463 0.2463 0.2463
S 0.2500 0.7580 0.2500
S 0.2500 0.2500 0.7580
S 0.7580 0.2500 0.2500
S 0.7537 0.7537 0.7537

=====

No. 6
A plane-wave DFT calculation with PBE was carried out for a relaxed Ac3PrS3 crystal.

Computed properties:
* volume: 214 Å³ per cell
* total DFT energy (no corrections): -5.85 eV per atom
* space group: Pm-3m, No. 221
* E_form (uncorrected): -1.64 eV per atom
* D(E_F): 0.981 states/eV per atom
* crystal system: cubic

Cell lengths 5.9771, 5.9771, 5.9771 Å; angles 90.00, 90.00, 90.00 degrees
Element x y z (fractional)
Ac 0.0000 0.5000 0.0000
Ac 0.0000 0.0000 0.5000
Ac 0.5000 0.0000 0.0000
Pr 0.5000 0.5000 0.5000
S 0.5000 0.0000 0.5000
S 0.5000 0.5000 0.0000
S 0.0000 0.5000 0.5000

=====

No. 7
A plane-wave DFT calculation with PBE was carried out for a relaxed Ac4Pr3S8 crystal.

Computed properties:
* volume: 425 Å³ per cell
* total DFT energy (no corrections): -6.26 eV per atom
* space group: C2/m, No. 12
* E_form (uncorrected): -2.01 eV per atom
* D(E_F): 0.496 states/eV per atom
* crystal system: monoclinic

Cell lengths 8.5005, 8.4329, 8.4329 Å; angles 90.06, 120.20, 120.20 degrees
Element x y z (fractional)
Ac 0.5000 0.0000 0.0000
Ac 0.0000 0.5000 0.0000
Ac 0.0000 0.0000 0.0000
Ac 0.0000 0.0000 0.5000
Pr 0.5000 0.5000 0.0000
Pr 0.5000 0.0000 0.5000
Pr 0.5000 0.5000 0.5000
S 0.5023 0.2548 0.2548
S 0.0000 0.7490 0.2510
S 0.0082 0.2548 0.2548
S 0.5000 0.7464 0.2536
S 0.5000 0.2536 0.7464
S 0.9918 0.7452 0.7452
S 0.0000 0.2510 0.7490
S 0.4977 0.7452 0.7452

=====

No. 8
A plane-wave DFT calculation with PBE was carried out for a relaxed AcPr3S4 crystal.

Computed properties:
* volume: 203 Å³ per cell
* total DFT energy (no corrections): -6.38 eV per atom
* space group: Cmmm, No. 65
* E_form (uncorrected): -2.01 eV per atom
* D(E_F): 0.644 states/eV per atom
* crystal system: orthorhombic

Cell lengths 4.1307, 7.2195, 7.2195 Å; angles 109.21, 90.00, 90.00 degrees
Element x y z (fractional)
Ac 0.5000 0.0000 0.0000
Pr 0.0000 0.0000 0.5000
Pr 0.5000 0.5000 0.5000
Pr 0.0000 0.5000 0.0000
S 0.0000 0.2579 0.2579
S 0.5000 0.7463 0.2537
S 0.0000 0.7421 0.7421
S 0.5000 0.2537 0.7463

=====

No. 9
A plane-wave DFT calculation with PBE was carried out for a relaxed Ac5PrS6 crystal.

Computed properties:
* volume: 331 Å³ per cell
* total DFT energy (no corrections): -6.18 eV per atom
* space group: C2/m, No. 12
* E_form (uncorrected): -2.01 eV per atom
* D(E_F): 0.453 states/eV per atom
* crystal system: monoclinic

Cell lengths 7.4014, 7.4014, 7.4097 Å; angles 60.04, 80.32, 70.32 degrees
Element x y z (fractional)
Pr 0.0000 0.0000 0.0000
Ac 0.5000 0.1678 0.6645
Ac 0.0000 0.3341 0.3319
Ac 0.5000 0.5000 0.0000
Ac 0.0000 0.6659 0.6681
Ac 0.5000 0.8322 0.3355
S 0.7549 0.0813 0.3280
S 0.2451 0.5908 0.3280
S 0.2476 0.2448 0.0000
S 0.7524 0.7552 0.0000
S 0.7549 0.4092 0.6720
S 0.2451 0.9187 0.6720

=====

No. 10
A plane-wave DFT calculation with PBE was carried out for a relaxed AcPrS2 crystal.

Computed properties:
* volume: 138 Å³ per cell
* total DFT energy (no corrections): -5.89 eV per atom
* space group: R-3m, No. 166
* E_form (uncorrected): -1.61 eV per atom
* energy above the lowest structure with this stoichiometry: 407 meV/atom
* D(E_F): 0.667 states/eV per atom
* crystal system: trigonal

Cell lengths 4.2588, 4.2588, 9.1191 Å; angles 76.50, 76.50, 60.00 degrees
Element x y z (fractional)
Pr 0.5000 0.5000 0.5000
Ac 0.0000 0.0000 0.0000
S 0.1101 0.1101 0.6697
S 0.8899 0.8899 0.3303

=====

No. 11
A plane-wave DFT calculation with PBE was carried out for a relaxed Ac3PrS6 crystal.

Computed properties:
* volume: 314 Å³ per cell
* total DFT energy (no corrections): -6.20 eV per atom
* space group: C2/m, No. 12
* E_form (uncorrected): -2.01 eV per atom
* energy above the lowest structure with this stoichiometry: 117 meV/atom
* D(E_F): 0.000 states/eV per atom
* crystal system: monoclinic

Cell lengths 7.4370, 7.6134, 7.6134 Å; angles 60.03, 61.95, 61.95 degrees
Element x y z (fractional)
Ac 0.2973 0.2491 0.2491
Ac 0.7027 0.7509 0.7509
Ac 0.0000 0.0000 0.0000
Pr 0.5000 0.5000 0.5000
S 0.3461 0.1607 0.6576
S 0.6539 0.3424 0.8393
S 0.6539 0.8393 0.3424
S 0.3461 0.6576 0.1607
S 0.1048 0.7428 0.7428
S 0.8952 0.2572 0.2572

=====

No. 12
A plane-wave DFT calculation with PBE was carried out for a relaxed AcPr5S6 crystal.

Computed properties:
* volume: 301 Å³ per cell
* total DFT energy (no corrections): -6.41 eV per atom
* space group: C2/m, No. 12
* E_form (uncorrected): -2.02 eV per atom
* D(E_F): 0.415 states/eV per atom
* crystal system: monoclinic

Cell lengths 7.1673, 7.1678, 7.1832 Å; angles 60.07, 80.31, 70.29 degrees
Element x y z (fractional)
Pr 0.5000 0.1658 0.6683
Pr 0.0000 0.3322 0.3356
Pr 0.5000 0.5000 0.0000
Pr 0.0000 0.6678 0.6644
Pr 0.5000 0.8342 0.3317
Ac 0.0000 0.0000 0.0000
S 0.7453 0.0854 0.3383
S 0.2547 0.5763 0.3383
S 0.2522 0.2551 0.0000
S 0.7478 0.7449 0.0000
S 0.7453 0.4237 0.6617
S 0.2547 0.9146 0.6617

=====

- Which value of E_form (uncorrected) does entry 8 give?
  -2.01 eV per atom

=====

- What is the total DFT energy (no corrections) in the second record?
  -6.40 eV per atom

=====

Please write out number 9 again, unchanged.
A plane-wave DFT calculation with PBE was carried out for a relaxed Ac5PrS6 crystal.

Computed properties:
* volume: 331 Å³ per cell
* total DFT energy (no corrections): -6.18 eV per atom
* space group: C2/m, No. 12
* E_form (uncorrected): -2.01 eV per atom
* D(E_F): 0.453 states/eV per atom
* crystal system: monoclinic

Cell lengths 7.4014, 7.4014, 7.4097 Å; angles 60.04, 80.32, 70.32 degrees
Element x y z (fractional)
Pr 0.0000 0.0000 0.0000
Ac 0.5000 0.1678 0.6645
Ac 0.0000 0.3341 0.3319
Ac 0.5000 0.5000 0.0000
Ac 0.0000 0.6659 0.6681
Ac 0.5000 0.8322 0.3355
S 0.7549 0.0813 0.3280
S 0.2451 0.5908 0.3280
S 0.2476 0.2448 0.0000
S 0.7524 0.7552 0.0000
S 0.7549 0.4092 0.6720
S 0.2451 0.9187 0.6720